# 1
The following is a PBE calculation of Hf3BeTc after structural relaxation, from Alexandria.

```
Hf3BeTc
1.0
4.9453 0.0000 0.0000
0.0000 4.9453 0.0000
0.0000 0.0000 4.9453
Hf Be Tc
3 1 1
direct
0.0000 0.0000 0.5000 Hf
0.0000 0.5000 0.0000 Hf
0.5000 0.0000 0.0000 Hf
0.5000 0.5000 0.5000 Be
0.0000 0.0000 0.0000 Tc
```

- total magnetic moment (μB per formula unit) = 0.00
- calculated total energy (eV per cell) = -39.56
- offset from the most stable computed form (meV/atom) = 325
- calculated density (g/cm3) = 8.821
- ΔE_f (eV/atom) = 0.88
- D(E_F) (states/eV/f.u.) = 8.357

---

# 2
The following is a PBE calculation of CaLaGd after structural relaxation, from Alexandria.

```
CaLaGd
1.0
3.7107 0.0000 0.0000
-1.8553 3.2135 0.0000
0.0000 0.0000 9.2553
Ca La Gd
1 1 1
direct
0.0000 0.0000 0.0000 Ca
0.3333 0.6667 0.6469 La
0.6667 0.3333 0.3387 Gd
```

- total magnetic moment (μB per formula unit) = 7.39
- calculated total energy (eV per cell) = -20.89
- calculated density (g/cm3) = 5.059
- ΔE_f (eV/atom) = 0.04
- D(E_F) (states/eV/f.u.) = 4.227

---

# 3
The following is a PBE calculation of La2YSi after structural relaxation, from Alexandria.

```
La2YSi
1.0
6.5955 0.0000 0.0000
0.0000 9.6181 0.0000
0.0000 0.0000 3.5547
La Y Si
4 2 2
direct
0.2500 0.2500 0.0000 La
0.2500 0.7500 0.0000 La
0.7500 0.2500 0.0000 La
0.7500 0.7500 0.0000 La
0.0000 0.0000 0.5000 Y
0.5000 0.5000 0.5000 Y
0.0000 0.5000 0.5000 Si
0.5000 0.0000 0.5000 Si
```

- raw formation energy (eV per formula unit) = -0.51
- total magnetic moment (μB per formula unit) = 0.00
- calculated total energy (eV per cell) = -44.50
- calculated density (g/cm3) = 5.815
- D(E_F) (states/eV/f.u.) = 4.735